Model P:
Entry from the Alexandria database: an optimized crystal structure of Mg2Sc2Ti (PBE).

Cell lengths 3.1804, 3.1804, 11.1205 Å; angles 98.22, 98.22, 90.00 degrees
With the nearest neighbours (Å) after each atom.
Fractional positions:
Sc 0.5925 0.5925 0.1850  4 Ti 3.02, 4 Sc 3.18, 4 Mg 3.24
Sc 0.4075 0.4075 0.8150  4 Ti 3.02, 4 Sc 3.18, 4 Mg 3.24
Ti 0.0000 0.0000 0.0000  8 Sc 3.02, 4 Ti 3.18
Mg 0.1998 0.1998 0.3996  8 Mg 3.14-3.18, 4 Sc 3.24
Mg 0.8002 0.8002 0.6004  8 Mg 3.14-3.18, 4 Sc 3.24

Output
- Symmetry: No. 139



Model Q:
Entry from the Alexandria database: an optimized crystal structure of Mg2Sc2Ti (PBE).

Cell lengths 8.2178, 8.2178, 3.3664 Å; angles 90.00, 90.00, 90.00 degrees
With the nearest neighbours (Å) after each atom.
Fractional positions:
Mg 0.8732 0.6268 0.0000  6 Sc 2.86-3.02, 1 Mg 2.95
Mg 0.3732 0.8732 0.0000  6 Sc 2.86-3.02, 1 Mg 2.95
Mg 0.6268 0.1268 0.0000  6 Sc 2.86-3.02, 1 Mg 2.95
Mg 0.1268 0.3732 0.0000  6 Sc 2.86-3.02, 1 Mg 2.95
Sc 0.6740 0.8260 0.5000  6 Mg 2.86-3.02
Sc 0.3260 0.1740 0.5000  6 Mg 2.86-3.02
Sc 0.8260 0.3260 0.5000  6 Mg 2.86-3.02
Sc 0.1740 0.6740 0.5000  6 Mg 2.86-3.02
Ti 0.5000 0.5000 0.0000  4 Mg 3.24, 2 Ti 3.37, 8 Sc 3.47
Ti 0.0000 0.0000 0.0000  4 Mg 3.24, 2 Ti 3.37, 8 Sc 3.47

Output
- Symmetry: No. 127



Most favorable first, least favorable last: model P, model Q



Model P:
Entry from the Alexandria database: an optimized crystal structure of Mg2ScTi (PBE).

Cell lengths 7.8840, 7.8840, 6.2806 Å; angles 51.12, 51.12, 90.00 degrees
With the nearest neighbours (Å) after each atom.
Fractional positions:
Ti 0.0000 0.0000 0.0000  4 Mg 2.81, 2 Sc 2.89
Ti 0.7500 0.2500 0.5000  4 Mg 2.81, 2 Sc 2.89
Mg 0.1126 0.6250 0.2500  2 Ti 2.81, 2 Mg 2.90, 2 Sc 2.95
Mg 0.6374 0.1250 0.2500  2 Ti 2.81, 2 Mg 2.90, 2 Sc 2.95
Mg 0.3750 0.3626 0.7500  2 Ti 2.81, 2 Mg 2.90, 2 Sc 2.95
Mg 0.8750 0.8874 0.7500  2 Ti 2.81, 2 Mg 2.90, 2 Sc 2.95
Sc 0.2500 0.7500 0.5000  2 Ti 2.89, 4 Mg 2.95
Sc 0.5000 0.5000 0.0000  2 Ti 2.89, 4 Mg 2.95

Output
- Symmetry: No. 122



Model Q:
Entry from the Alexandria database: an optimized crystal structure of Mg2ScTi (PBE).

Cell lengths 3.4326, 3.4326, 7.1103 Å; angles 90.00, 90.00, 90.00 degrees
With the nearest neighbours (Å) after each atom.
Fractional positions:
Mg 0.0000 0.0000 0.7679  4 Ti 2.93, 4 Sc 3.09
Mg 0.0000 0.0000 0.2321  4 Ti 2.93, 4 Sc 3.09
Sc 0.5000 0.5000 0.5000  8 Mg 3.09, 4 Sc 3.43
Ti 0.5000 0.5000 0.0000  8 Mg 2.93

Output
- Symmetry: No. 123



Most favorable first, least favorable last: model Q, model P



Model P:
Entry from the Alexandria database: an optimized crystal structure of Mg2ScTi (PBE).

Cell lengths 3.4820, 4.9072, 4.9072 Å; angles 90.00, 90.00, 90.00 degrees
With the nearest neighbours (Å) after each atom.
Fractional positions:
Ti 0.5000 0.0000 0.0000  8 Mg 3.01
Sc 0.5000 0.5000 0.5000  8 Mg 3.01
Mg 0.0000 0.5000 0.0000  4 Sc 3.01, 4 Ti 3.01
Mg 0.0000 0.0000 0.5000  4 Sc 3.01, 4 Ti 3.01

Output
- Symmetry: No. 123



Model Q:
Entry from the Alexandria database: an optimized crystal structure of Mg2ScTi (PBE).

Cell lengths 3.0903, 3.0903, 10.4878 Å; angles 81.53, 81.53, 60.00 degrees
With the nearest neighbours (Å) after each atom.
Fractional positions:
Mg 0.2533 0.2533 0.2400  3 Ti 3.06, 6 Mg 3.09, 3 Sc 3.23
Mg 0.7467 0.7467 0.7600  3 Ti 3.06, 6 Mg 3.09, 3 Sc 3.23
Sc 0.5000 0.5000 0.5000  6 Sc 3.09, 6 Mg 3.23
Ti 0.0000 0.0000 0.0000  6 Mg 3.06, 6 Ti 3.09

Output
- Symmetry: No. 166



Most favorable first, least favorable last: model P, model Q



Model P:
Entry from the Alexandria database: an optimized crystal structure of MgSc2Tl (PBE).

Cell lengths 5.7746, 5.7746, 5.7746 Å; angles 135.51, 135.51, 64.74 degrees
With the nearest neighbours (Å) after each atom.
Fractional positions:
Mg 0.7500 0.2500 0.5000  8 Sc 3.09-3.28, 4 Tl 3.28
Sc 0.2500 0.7500 0.5000  4 Mg 3.09, 4 Tl 3.28, 4 Sc 3.28
Sc 0.0000 0.0000 0.0000  4 Tl 3.09, 4 Sc 3.28, 4 Mg 3.28
Tl 0.5000 0.5000 0.0000  8 Sc 3.09-3.28, 4 Mg 3.28

Output
- Symmetry: No. 119



Model Q:
Entry from the Alexandria database: an optimized crystal structure of MgSc2Tl (PBE).

Cell lengths 4.7066, 3.3646, 6.1984 Å; angles 74.25, 90.00, 90.00 degrees
With the nearest neighbours (Å) after each atom.
Fractional positions:
Sc 0.0000 0.9505 0.9753  2 Tl 3.02-3.39, 4 Mg 3.14-3.15, 2 Sc 3.36
Sc 0.5000 0.2994 0.2748  2 Mg 3.02-3.38, 4 Tl 3.14-3.15, 2 Sc 3.36
Tl 0.0000 0.6942 0.4819  2 Mg 2.91, 5 Sc 3.02-3.15
Mg 0.5000 0.5559 0.7680  2 Tl 2.91, 5 Sc 3.02-3.15

Output
- Symmetry: No. 6



Most favorable first, least favorable last: model Q, model P



Model P:
Entry from the Alexandria database: an optimized crystal structure of MgSc2Tl (PBE).

Cell lengths 10.2247, 10.2247, 10.2247 Å; angles 18.87, 18.87, 18.87 degrees
With the nearest neighbours (Å) after each atom.
Fractional positions:
Tl 0.2500 0.2500 0.2500  6 Sc 3.16, 6 Tl 3.35
Sc 0.9996 0.9996 0.9996  3 Tl 3.16, 3 Mg 3.18, 6 Sc 3.35
Sc 0.5004 0.5004 0.5004  3 Tl 3.16, 3 Mg 3.18, 6 Sc 3.35
Mg 0.7500 0.7500 0.7500  6 Sc 3.18, 6 Mg 3.35

Output
- Symmetry: No. 166



Model Q:
Entry from the Alexandria database: an optimized crystal structure of MgSc2Tl (PBE).

Cell lengths 5.3738, 5.3738, 5.3738 Å; angles 129.02, 129.07, 74.94 degrees
With the nearest neighbours (Å) after each atom.
Fractional positions:
Mg 0.7500 0.2500 0.5000  8 Sc 3.14-3.15, 4 Tl 3.27
Sc 0.5000 0.5000 0.0000  4 Tl 3.14-3.15, 4 Mg 3.14-3.15, 4 Sc 3.27
Sc 0.0000 0.0000 0.0000  4 Tl 3.14-3.15, 4 Mg 3.14-3.15, 4 Sc 3.27
Tl 0.2500 0.7500 0.5000  8 Sc 3.14-3.15, 4 Mg 3.27

Output
- Symmetry: No. 139



Model R:
Entry from the Alexandria database: an optimized crystal structure of MgSc2Tl (PBE).

Cell lengths 3.3217, 4.5173, 6.3013 Å; angles 90.00, 90.00, 90.00 degrees
With the nearest neighbours (Å) after each atom.
Fractional positions:
Sc 0.0000 0.0000 0.9972  2 Tl 3.12-3.18, 4 Mg 3.18, 6 Sc 3.23-3.32
Sc 0.5000 0.5000 0.2510  2 Mg 3.10-3.20, 4 Tl 3.19, 6 Sc 3.23-3.32
Mg 0.5000 0.5000 0.7591  6 Sc 3.10-3.20, 4 Tl 3.27, 2 Mg 3.32
Tl 0.0000 0.0000 0.4926  6 Sc 3.12-3.19, 4 Mg 3.27, 2 Tl 3.32

Output
- Symmetry: No. 25



Most favorable first, least favorable last: model Q, model R, model P